{
  "formula": "AlWAu2",
  "functional": "GGA-PBE",
  "state": "optimized geometry",
  "lattice_angstrom": [[4.649, 0.000, 0.000], [0.000, 4.649, 0.000], [0.000, 0.000, 3.127]],
  "species": ["Al", "W", "Au", "Au"],
  "fractional_positions": [[0.000, 0.000, 0.000], [0.500, 0.500, 0.000], [0.000, 0.500, 0.500], [0.500, 0.000, 0.500]],
  "total_magnetization_mub_per_fu": 0.00,
  "formation_energy_mev_per_atom": 299,
  "rho_g_cm3": 14.9,
  "e_tot_ev_per_atom": -5.514
}